Entry 1:
Li2PuReO6 (PBE-GGA, relaxed); formation energy without anion corrections = -2.061 eV per atom
1.0
5.823 0.000 0.000
0.000 5.823 0.000
0.000 0.000 4.219
Li Pu Re O
2 1 1 6
Direct
0.000 0.500 0.000
0.500 0.000 0.000
0.000 0.000 0.823
0.500 0.500 0.773
0.000 0.000 0.327
0.272 0.272 0.870
0.272 0.728 0.870
0.500 0.500 0.361
0.728 0.272 0.870
0.728 0.728 0.870

Entry 2:
CoSn3S (PBE-GGA, relaxed); relative energy among the computed polymorphs = 883.3 meV per atom; formation energy without anion corrections = 0.852 eV per atom
1.0
5.282 0.000 0.000
0.000 5.282 0.000
0.000 0.000 5.282
Co Sn S
1 3 1
Direct
0.000 0.000 0.000
0.000 0.500 0.500
0.500 0.000 0.500
0.500 0.500 0.000
0.500 0.500 0.500

no.,raw total energy (eV per atom),M_tot (μB per formula unit)
1,-8.0969,4.08
2,-3.7962,2.29